Material: CeCoTc
Method: DFT, GGA-PBE
State: relaxed

Results
Polymorph energy (0 for the lowest one): 250 meV/atom
Formation energy from the elements: 92 meV/atom

abc: 4.659 4.659 6.205
angles: 87.90 125.18 106.34
Fractional positions:
Ce  0.212  0.646  0.858
Ce  0.788  0.354  0.142
Tc  0.000  0.000  0.500
Tc  0.500  0.500  0.500
Co  0.285  0.971  0.256
Co  0.715  0.029  0.744

=====

Material: AlCu3
Method: DFT, GGA-PBE
State: relaxed

Results
Formation energy from the elements: -18 meV/atom

abc: 8.306 8.306 8.306
angles: 18.67 18.67 18.67
Fractional positions:
Al  0.000  0.000  0.000
Cu  0.751  0.751  0.751
Cu  0.500  0.500  0.500
Cu  0.249  0.249  0.249

=====

Material: Na4AlPd3O8
Method: DFT, GGA-PBE
State: relaxed

Results
Formation energy without anion corrections: -1.26 eV per atom

abc: 6.000 6.235 6.694
angles: 118.82 116.63 90.00
Last column: magnetic moment on the atom in μB.
Fractional positions:
Na  0.500  0.000  0.000  0.00
Na  0.500  0.000  0.500  0.00
Na  0.000  0.000  0.000  0.00
Na  0.000  0.000  0.500  0.00
Al  0.000  0.500  0.000  0.00
Pd  0.500  0.500  0.000  0.00
Pd  0.500  0.500  0.500  0.18
Pd  0.000  0.500  0.500  0.18
O  0.257  0.729  0.040  0.07
O  0.199  0.660  0.398  0.02
O  0.297  0.340  0.595  0.02
O  0.783  0.729  0.040  0.07
O  0.217  0.271  0.960  0.07
O  0.703  0.660  0.405  0.02
O  0.801  0.340  0.602  0.02
O  0.743  0.271  0.960  0.07

=====

Material: Rb3NaGe2O6
Method: DFT, GGA-PBE
State: relaxed

Results
Formation energy without anion corrections: -1.55 eV per atom

abc: 6.299 6.299 7.569
angles: 90.00 90.00 120.00
Fractional positions:
Rb  0.333  0.667  0.728
Rb  0.667  0.333  0.272
Rb  0.000  0.000  0.000
Na  0.000  0.000  0.500
Ge  0.667  0.333  0.723
Ge  0.333  0.667  0.277
O  0.647  0.824  0.279
O  0.176  0.353  0.279
O  0.176  0.824  0.279
O  0.824  0.647  0.721
O  0.353  0.176  0.721
O  0.824  0.176  0.721

=====

Material: Sc2InW
Method: DFT, GGA-PBE
State: relaxed

Results
Formation energy from the elements: 65 meV/atom

abc: 3.983 4.481 4.481
angles: 90.00 90.00 90.00
Fractional positions:
In  0.500  0.000  0.500
Sc  0.000  0.000  0.000
Sc  0.000  0.500  0.500
W  0.500  0.500  0.000

=====

Material: CuMo2Rh
Method: DFT, GGA-PBE
State: relaxed

Results
Formation energy from the elements: 73 meV/atom

abc: 3.793 3.796 4.016
angles: 90.00 90.00 90.00
Fractional positions:
Cu  0.000  0.500  0.500
Mo  0.000  0.000  0.000
Mo  0.500  0.500  0.000
Rh  0.500  0.000  0.500

=====

Material: La2GeAu3
Method: DFT, GGA-PBE
State: relaxed

Results
Formation energy from the elements: -833 meV/atom

abc: 6.052 6.052 9.003
angles: 105.79 105.79 100.96
Fractional positions:
La  0.250  0.750  0.500
La  0.762  0.762  0.000
La  0.750  0.250  0.500
La  0.238  0.238  0.000
Ge  0.665  0.665  0.330
Ge  0.335  0.335  0.670
Au  0.344  0.827  0.171
Au  0.173  0.656  0.829
Au  0.656  0.173  0.829
Au  0.827  0.344  0.171
Au  0.172  0.172  0.345
Au  0.828  0.828  0.655

=====

Material: LiSn3Pd2
Method: DFT, GGA-PBE
State: relaxed

Results
Polymorph energy (0 for the lowest one): 0 meV/atom
Formation energy from the elements: -332 meV/atom

abc: 6.701 6.480 6.480
angles: 120.00 90.00 90.00
Fractional positions:
Li  0.301  0.667  0.333
Li  0.699  0.333  0.667
Sn  0.696  0.339  0.170
Sn  0.696  0.830  0.661
Sn  0.696  0.830  0.170
Sn  0.304  0.170  0.830
Sn  0.304  0.661  0.830
Sn  0.304  0.170  0.339
Pd  0.000  0.000  0.000
Pd  0.000  0.500  0.500
Pd  0.000  0.500  0.000
Pd  0.000  0.000  0.500

=====

Material: Mg2GaMo
Method: DFT, GGA-PBE
State: relaxed

Results
Formation energy from the elements: 496 meV/atom

abc: 7.442 7.442 5.911
angles: 50.99 50.99 90.00
Last column: magnetic moment on the atom in μB.
Fractional positions:
Mo  0.000  0.000  0.000  0.89
Mo  0.750  0.250  0.500  0.88
Mg  0.608  0.125  0.250  -0.01
Mg  0.142  0.625  0.250  -0.01
Mg  0.375  0.392  0.750  -0.01
Mg  0.875  0.858  0.750  -0.01
Ga  0.500  0.500  0.000  -0.02
Ga  0.250  0.750  0.500  -0.02

=====

Material: Y2Mn2Al2C
Method: DFT, GGA-PBE
State: relaxed

Results
Formation energy from the elements: -214 meV/atom

abc: 3.429 5.721 6.624
angles: 73.31 90.01 72.55
Last column: magnetic moment on the atom in μB.
Fractional positions:
Y  0.493  0.015  0.742  -0.07
Y  0.507  0.985  0.258  -0.07
Mn  0.817  0.366  0.941  1.25
Mn  0.183  0.634  0.059  1.25
Al  0.796  0.408  0.350  -0.01
Al  0.204  0.592  0.650  -0.01
C  0.000  0.000  0.000  -0.07

=====

Material: Cs2CdFeC6N6
Method: DFT, GGA-PBE
State: relaxed

Results
Formation energy without anion corrections: -0.12 eV per atom

abc: 7.644 7.644 7.644
angles: 60.00 60.00 60.00
Last column: magnetic moment on the atom in μB.
Fractional positions:
Cs  0.750  0.750  0.750  0.00
Cs  0.250  0.250  0.250  0.00
Cd  0.500  0.500  0.500  0.00
Fe  0.000  0.000  0.000  0.14
C  0.826  0.174  0.174  0.00
C  0.826  0.826  0.174  0.00
C  0.174  0.826  0.174  0.00
C  0.174  0.174  0.826  0.00
C  0.826  0.174  0.826  0.00
C  0.174  0.826  0.826  0.00
N  0.717  0.283  0.283  0.00
N  0.717  0.717  0.283  0.00
N  0.283  0.717  0.283  0.00
N  0.283  0.283  0.717  0.00
N  0.717  0.283  0.717  0.00
N  0.283  0.717  0.717  0.00

=====

Material: YOs2Pb2
Method: DFT, GGA-PBE
State: relaxed

Results
Polymorph energy (0 for the lowest one): 101 meV/atom
Formation energy from the elements: 490 meV/atom

abc: 7.310 7.310 4.160
angles: 90.00 90.00 90.00
Fractional positions:
Pb  0.176  0.676  0.500
Pb  0.676  0.824  0.500
Pb  0.824  0.324  0.500
Pb  0.324  0.176  0.500
Y  0.000  0.000  0.000
Y  0.500  0.500  0.000
Os  0.381  0.881  0.000
Os  0.881  0.619  0.000
Os  0.619  0.119  0.000
Os  0.119  0.381  0.000